Entry 1:
## HgCl2 (meta-GGA SCAN)

Data for a PBEsol-optimized structure of HgCl2.

Cell and atoms, written as POSCAR:
```
HgCl2
1.0
-0.0068 3.1952 -2.0733
3.0513 -2.5954 -4.0098
-6.8110 -3.9773 -2.6085
Cl Hg
4 2
Cartesian
-3.5189 -2.3759 -7.1487 Cl
-0.5243 -1.3301 -5.5468 Cl
-0.2475 -1.0017 -1.5429 Cl
-3.2421 -2.0475 -3.1448 Cl
-1.6319 0.1136 -3.3183 Hg
-2.1346 -3.4912 -5.3734 Hg
```

Output
Formation energy from raw total energies: -0.5737 eV/atom
Total magnetic moment: 0.0 μB/cell

---

Entry 2:
## Hg3Cl (meta-GGA SCAN)

Data for a PBEsol-optimized structure of Hg3Cl.

Cell and atoms, written as POSCAR:
```
Hg3Cl
1.0
4.0034 0.0000 0.0000
2.0017 3.4670 0.0000
2.0017 1.1557 7.3001
Hg Cl
3 1
Cartesian
4.0034 2.3114 3.6501 Hg
6.0051 3.4670 5.4391 Hg
2.0017 1.1557 1.8611 Hg
0.0000 0.0000 0.0000 Cl
```

Output
Formation energy from raw total energies: -0.2373 eV/atom
Total magnetic moment: 0.0 μB/cell
Polymorph energy (0 for the lowest one): 0 meV/atom

---

Entry 3:
## HgCl (meta-GGA SCAN)

Data for a PBEsol-optimized structure of HgCl.

Cell and atoms, written as POSCAR:
```
HgCl
1.0
3.9293 0.0000 0.0000
0.0000 3.9709 0.0000
0.0000 0.0000 6.2777
Hg Cl
2 2
Cartesian
1.9647 3.3833 1.5694 Hg
1.9647 0.5876 4.7083 Hg
0.0000 1.3938 1.5694 Cl
0.0000 2.5771 4.7083 Cl
```

Output
Formation energy from raw total energies: -0.1984 eV/atom
Total magnetic moment: 0.0 μB/cell
Polymorph energy (0 for the lowest one): 405 meV/atom

---

Entry 4:
## Hg2Cl (meta-GGA SCAN)

Data for a PBEsol-optimized structure of Hg2Cl.

Cell and atoms, written as POSCAR:
```
Hg2Cl
1.0
-3.8948 1.7475 0.1077
-3.9704 -3.7803 2.4082
-1.3006 1.9110 6.6160
Cl Hg
2 4
Cartesian
-5.2536 -1.4220 2.3926 Cl
-3.9121 1.3002 6.7393 Cl
-4.9592 -1.0461 6.9408 Hg
-4.2065 0.9243 2.1911 Hg
-2.0863 0.2903 4.4979 Hg
-7.0795 -0.4122 4.6341 Hg
```

Output
Formation energy from raw total energies: -0.3747 eV/atom
Total magnetic moment: 0.0 μB/cell
Polymorph energy (0 for the lowest one): 0 meV/atom

---

Entry 5:
## HgCl5 (meta-GGA SCAN)

Data for a PBEsol-optimized structure of HgCl5.

Cell and atoms, written as POSCAR:
```
HgCl5
1.0
-2.9287 -1.3527 1.7204
-0.5969 -4.6294 -4.6560
5.6343 -2.1820 3.9912
Hg Cl
1 5
Cartesian
0.4123 -6.5644 -0.5747 Hg
-1.1481 -4.9558 -1.9663 Cl
2.6029 -2.7632 2.2584 Cl
0.2760 -2.4172 -1.4307 Cl
2.3165 -4.9733 0.0332 Cl
0.4515 -1.0079 -0.0239 Cl
```

Output
Formation energy from raw total energies: -0.1366 eV/atom
Total magnetic moment: 0.5 μB/cell

---

Entry 6:
## HgCl (meta-GGA SCAN)

Data for a PBEsol-optimized structure of HgCl.

Cell and atoms, written as POSCAR:
```
HgCl
1.0
4.3997 0.0000 0.0000
0.0000 4.3997 0.0000
-2.1998 -2.1998 5.4791
Hg Cl
2 2
Cartesian
2.1998 2.1998 4.1948 Hg
0.0000 0.0000 1.2843 Hg
2.1998 2.1998 1.7534 Cl
0.0000 0.0000 3.7258 Cl
```

Output
Formation energy from raw total energies: -0.6037 eV/atom
Total magnetic moment: 0.0 μB/cell
Polymorph energy (0 for the lowest one): 0 meV/atom

---

Entry 7:
## Hg3Cl (meta-GGA SCAN)

Data for a PBEsol-optimized structure of Hg3Cl.

Cell and atoms, written as POSCAR:
```
Hg3Cl
1.0
-0.9395 -0.0191 -3.8877
3.8779 -3.3268 -0.9208
-4.3281 -2.6833 1.0591
Hg Cl
3 1
Cartesian
-2.7065 -2.8540 -1.3893 Hg
-0.2251 -3.0051 0.0692 Hg
1.3169 -3.1753 -2.3600 Hg
0.0000 0.0000 0.0000 Cl
```

Output
Formation energy from raw total energies: -0.2259 eV/atom
Total magnetic moment: 0.0 μB/cell
Polymorph energy (0 for the lowest one): 11 meV/atom

---

Entry 8:
## HgCl3 (meta-GGA SCAN)

Data for a PBEsol-optimized structure of HgCl3.

Cell and atoms, written as POSCAR:
```
HgCl3
1.0
-3.9838 -3.0280 -1.6623
-0.2021 -3.1699 6.2585
-6.8795 7.1773 3.4131
Hg Cl
4 12
Cartesian
-8.8527 0.9910 4.3517 Hg
-2.2127 -0.0116 3.6576 Hg
-4.1138 -0.1020 0.0158 Hg
-6.9516 1.0814 7.9935 Hg
-3.4993 0.4277 5.8303 Cl
-4.1912 -1.2434 2.2600 Cl
-8.9205 -0.1430 6.5999 Cl
-6.8743 2.2228 5.7493 Cl
-3.0819 -3.7513 4.0797 Cl
-2.1450 1.1224 1.4094 Cl
-5.5651 2.2077 2.7298 Cl
-7.9835 4.7307 3.9296 Cl
-1.0810 -2.0953 4.6305 Cl
-5.5003 -1.2283 5.2795 Cl
-9.9844 3.0747 3.3788 Cl
-7.5661 0.5517 2.1790 Cl
```

Output
Formation energy from raw total energies: -0.2860 eV/atom
Total magnetic moment: 0.0 μB/cell

---

Entry 9:
## HgCl3 (meta-GGA SCAN)

Data for a PBEsol-optimized structure of HgCl3.

Cell and atoms, written as POSCAR:
```
HgCl3
1.0
3.8100 0.0000 0.0000
-1.9050 3.3815 0.0000
0.0000 0.0000 7.5518
Cl Hg
3 1
Cartesian
1.9050 0.0000 0.0000 Cl
0.0000 0.0000 5.4782 Cl
0.0000 0.0000 2.0736 Cl
1.9050 0.0000 3.7759 Hg
```

Output
Formation energy from raw total energies: -0.0492 eV/atom
Total magnetic moment: 0.0 μB/cell

---

Entry 10:
## Hg5Cl (meta-GGA SCAN)

Data for a PBEsol-optimized structure of Hg5Cl.

Cell and atoms, written as POSCAR:
```
Hg5Cl
1.0
4.1493 0.0000 0.0000
0.0000 5.9268 0.0000
-2.0747 0.0000 6.2566
Cl Hg
1 5
Cartesian
0.0000 0.0000 0.6868 Cl
0.0000 0.0000 4.8526 Hg
0.0000 2.9634 0.7039 Hg
2.0747 2.9634 2.7627 Hg
0.0000 2.9634 4.9010 Hg
2.0747 0.0000 2.7773 Hg
```

Output
Formation energy from raw total energies: -0.1408 eV/atom
Total magnetic moment: 0.0 μB/cell
Polymorph energy (0 for the lowest one): 25 meV/atom

---

Entry 11:
## HgCl3 (meta-GGA SCAN)

Data for a PBEsol-optimized structure of HgCl3.

Cell and atoms, written as POSCAR:
```
HgCl3
1.0
4.9013 0.0000 0.0000
-1.6338 4.6228 0.0000
1.6338 2.3114 4.0034
Hg Cl
1 3
Cartesian
2.4506 0.0000 0.0000 Hg
-0.8169 2.3114 0.0000 Cl
2.4506 3.4671 2.0017 Cl
0.8169 1.1557 2.0017 Cl
```

Output
Formation energy from raw total energies: 0.1205 eV/atom
Total magnetic moment: 0.0 μB/cell

---

Entry 12:
## Hg3Cl (meta-GGA SCAN)

Data for a PBEsol-optimized structure of Hg3Cl.

Cell and atoms, written as POSCAR:
```
Hg3Cl
1.0
3.7250 0.0000 0.0000
-1.8625 3.2260 0.0000
0.0000 0.0000 8.1288
Hg Cl
3 1
Cartesian
0.0000 2.1506 2.0366 Hg
0.0000 0.0000 4.0644 Hg
0.0000 2.1506 6.0922 Hg
0.0000 0.0000 0.0000 Cl
```

Output
Formation energy from raw total energies: -0.1983 eV/atom
Total magnetic moment: 0.0 μB/cell
Polymorph energy (0 for the lowest one): 39 meV/atom

---

Entry 13:
## HgCl2 (meta-GGA SCAN)

Data for a PBEsol-optimized structure of HgCl2.

Cell and atoms, written as POSCAR:
```
HgCl2
1.0
3.9594 0.0000 0.0000
0.0000 6.0486 0.0000
0.0000 0.0000 13.5607
Cl Hg
8 4
Cartesian
0.8258 4.5364 7.2457 Cl
1.1539 4.5364 0.4654 Cl
3.1336 1.5121 6.3149 Cl
1.8357 1.5121 9.5205 Cl
3.8154 4.5364 10.8205 Cl
2.8055 1.5121 13.0953 Cl
0.1440 1.5121 2.7402 Cl
2.1237 4.5364 4.0401 Cl
1.5235 1.5121 4.6407 Hg
0.4563 1.5121 11.4210 Hg
2.4360 4.5364 8.9199 Hg
3.5032 4.5364 2.1396 Hg
```

Output
Formation energy from raw total energies: -0.6444 eV/atom
Total magnetic moment: 0.0 μB/cell

---

Entry 14:
## HgCl (meta-GGA SCAN)

Data for a PBEsol-optimized structure of HgCl.

Cell and atoms, written as POSCAR:
```
HgCl
1.0
-2.2917 -2.2734 1.4567
-3.2532 -2.1454 -4.1613
1.3863 -5.2791 -1.7529
Hg Cl
2 2
Cartesian
-0.8629 -6.3075 -2.5916 Hg
-3.2956 -3.3903 -1.8659 Hg
0.1945 -4.0535 -1.7152 Cl
-4.3531 -5.6443 -2.7423 Cl
```

Output
Formation energy from raw total energies: -0.3971 eV/atom
Total magnetic moment: 0.0 μB/cell
Polymorph energy (0 for the lowest one): 207 meV/atom

---

Entry 15:
## HgCl3 (meta-GGA SCAN)

Data for a PBEsol-optimized structure of HgCl3.

Cell and atoms, written as POSCAR:
```
HgCl3
1.0
3.5317 0.0000 0.0000
0.0000 3.4424 0.0000
0.0000 0.0000 8.3241
Hg Cl
1 3
Cartesian
1.7659 0.0000 5.8133 Hg
1.7659 1.7212 1.4822 Cl
0.0000 1.7212 4.4989 Cl
0.0000 0.0000 7.6285 Cl
```

Output
Formation energy from raw total energies: -0.0327 eV/atom
Total magnetic moment: 1.0 μB/cell

---

Entry 16:
## HgCl (meta-GGA SCAN)

Data for a PBEsol-optimized structure of HgCl.

Cell and atoms, written as POSCAR:
```
HgCl
1.0
4.1130 0.0000 0.0000
2.0565 3.5620 0.0000
2.0565 1.1873 3.3799
Cl Hg
1 1
Cartesian
0.0000 0.0000 0.0000 Cl
4.1130 2.3746 1.6899 Hg
```

Output
Formation energy from raw total energies: -0.2037 eV/atom
Total magnetic moment: 0.0 μB/cell
Polymorph energy (0 for the lowest one): 400 meV/atom

---

Entry 17:
## Hg3Cl (meta-GGA SCAN)

Data for a PBEsol-optimized structure of Hg3Cl.

Cell and atoms, written as POSCAR:
```
Hg3Cl
1.0
3.4653 0.0000 0.0000
0.0000 3.4653 0.0000
0.0000 0.0000 7.5850
Hg Cl
3 1
Cartesian
1.7327 1.7327 1.8866 Hg
1.7327 1.7327 5.6985 Hg
0.0000 0.0000 3.7925 Hg
0.0000 0.0000 0.0000 Cl
```

Output
Formation energy from raw total energies: -0.1272 eV/atom
Total magnetic moment: 0.0 μB/cell
Polymorph energy (0 for the lowest one): 110 meV/atom

---

Entry 18:
## Hg3Cl5 (meta-GGA SCAN)

Data for a PBEsol-optimized structure of Hg3Cl5.

Cell and atoms, written as POSCAR:
```
Hg3Cl5
1.0
-2.3725 2.7581 1.1417
0.6441 -2.2635 6.8067
5.0005 4.9446 -1.5542
Cl Hg
5 3
Cartesian
2.5003 2.4723 -0.7771 Cl
2.7697 3.2581 4.2520 Cl
0.3221 -1.1317 3.4034 Cl
0.5024 2.1812 2.1422 Cl
0.0000 0.0000 0.0000 Cl
3.0579 5.0721 0.4684 Hg
0.2143 0.3672 5.9258 Hg
2.8223 1.3406 2.6263 Hg
```

Output
Formation energy from raw total energies: -0.3597 eV/atom
Total magnetic moment: 0.0 μB/cell

---

Entry 19:
## HgCl3 (meta-GGA SCAN)

Data for a PBEsol-optimized structure of HgCl3.

Cell and atoms, written as POSCAR:
```
HgCl3
1.0
3.8058 0.0000 0.0000
0.0000 3.8058 0.0000
-1.9029 -1.9029 12.2979
Cl Hg
6 2
Cartesian
0.0000 1.9029 0.0000 Cl
0.0000 1.9029 6.1490 Cl
0.0000 0.0000 3.0706 Cl
1.9029 0.0000 0.0000 Cl
1.9029 0.0000 6.1490 Cl
1.9029 1.9029 9.2273 Cl
1.9029 1.9029 3.0590 Hg
0.0000 0.0000 9.2389 Hg
```

Output
Formation energy from raw total energies: 0.0266 eV/atom
Total magnetic moment: 0.0 μB/cell

---

Entry 20:
## HgCl2 (meta-GGA SCAN)

Data for a PBEsol-optimized structure of HgCl2.

Cell and atoms, written as POSCAR:
```
HgCl2
1.0
3.8370 0.0000 0.0000
0.0000 12.4191 0.0000
0.0000 0.0000 6.6568
Cl Hg
8 4
Cartesian
0.9592 9.2333 6.3896 Cl
2.8777 6.3451 4.8945 Cl
0.9592 6.0740 1.7623 Cl
0.9592 3.0237 3.5957 Cl
2.8777 3.1858 0.2672 Cl
2.8777 0.1355 5.0907 Cl
2.8777 9.3953 3.0612 Cl
0.9592 12.2835 1.5661 Cl
2.8777 4.5681 2.7694 Hg
0.9592 7.8510 3.8875 Hg
2.8777 10.7776 0.5590 Hg
0.9592 1.6414 6.0978 Hg
```

Output
Formation energy from raw total energies: -0.5972 eV/atom
Total magnetic moment: 0.0 μB/cell